Here is a geometry-optimized RbBaGe2Mo structure from the Alexandria database. Energies are from GGA-PBE.

Summary:
The theoretical density is 5.18 g cm⁻³. For the formation energy, the calculation gives 0.20 eV per atom. Its symmetry is No. 123.

Unit cell a=5.1088 b=5.1088 c=5.6974 alpha=90.00 beta=90.00 gamma=90.00
Sites, in units of the cell vectors:
Rb  0.0000  0.0000  0.0000
Ba  0.5000  0.5000  0.0000
Ge  0.0000  0.5000  0.5000
Ge  0.5000  0.0000  0.5000
Mo  0.5000  0.5000  0.5000

Here is a geometry-optimized BaGe2MoS structure from the Alexandria database. Energies are from GGA-PBE.

Summary:
The theoretical density is 3.82 g cm⁻³. As for the formation energy (no corrections): 2180 meV per atom. Its symmetry is No. 123.

Unit cell a=5.7552 b=5.7552 c=5.3952 alpha=90.00 beta=90.00 gamma=90.00
Sites, in units of the cell vectors:
Ba  0.0000  0.0000  0.0000
Ge  0.0000  0.5000  0.0000
Ge  0.5000  0.0000  0.0000
Mo  0.0000  0.0000  0.5000
S  0.5000  0.5000  0.5000

Here is a geometry-optimized BaTiGe2Mo structure from the Alexandria database. Energies are from GGA-PBE.

Summary:
The theoretical density is 4.78 g cm⁻³. For the formation energy, the calculation gives 2.47 eV per atom. Its symmetry is No. 123.

Unit cell a=5.4130 b=5.4130 c=5.0535 alpha=90.00 beta=90.00 gamma=90.00
Sites, in units of the cell vectors:
Ba  0.0000  0.0000  0.0000
Ti  0.0000  0.0000  0.5000
Ge  0.0000  0.5000  0.0000
Ge  0.5000  0.0000  0.0000
Mo  0.5000  0.5000  0.5000

Here is a geometry-optimized Ba2TlGeMo structure from the Alexandria database. Energies are from GGA-PBE.

Summary:
The theoretical density is 4.70 g cm⁻³. For the formation energy, the calculation gives 0.98 eV per atom. Its symmetry is No. 123.

Unit cell a=6.6401 b=6.6401 c=5.1856 alpha=90.00 beta=90.00 gamma=90.00
Sites, in units of the cell vectors:
Ba  0.0000  0.5000  0.0000
Ba  0.5000  0.0000  0.0000
Tl  0.0000  0.0000  0.0000
Ge  0.0000  0.0000  0.5000
Mo  0.5000  0.5000  0.5000

- Which value of theoretical density does entry 3 give?
  4.78 g cm⁻³